No. 1
Crystalline TbErPb2 at its relaxed geometry, computed with GGA-PBE.

Cell lengths 3.545, 3.545, 8.915 Å; angles 90.00, 90.00, 90.00 degrees
Fractional positions:
Tb (0.000, 0.000, 0.000)
Er (0.000, 0.000, 0.500)
Pb (0.500, 0.500, 0.253)
Pb (0.500, 0.500, 0.747)

Properties
E_form	-1.69	eV/f.u.

=====

No. 2
Crystalline GeSe2O at its relaxed geometry, computed with GGA-PBE.

Cell lengths 7.223, 7.223, 7.223 Å; angles 30.79, 30.79, 30.79 degrees
Fractional positions:
Ge (0.000, 0.000, 0.000)
Se (0.408, 0.408, 0.408)
Se (0.592, 0.592, 0.592)
O (0.500, 0.500, 0.500)

Properties
E above lowest polymorph	0.0000	eV/atom
E_form (uncorrected)	6.15	kJ per mole of atoms

=====

No. 3
Crystalline RbNbSi2Cl at its relaxed geometry, computed with GGA-PBE.

Cell lengths 5.623, 5.623, 5.589 Å; angles 90.00, 90.00, 90.00 degrees
Fractional positions:
Rb (0.000, 0.000, 0.000)
Nb (0.000, 0.000, 0.500)
Si (0.000, 0.500, 0.000)
Si (0.500, 0.000, 0.000)
Cl (0.500, 0.500, 0.500)

Properties
E_form (uncorrected)	235.78	kJ per mole of atoms

=====

No. 4
Crystalline LaTb7Ho12 at its relaxed geometry, computed with GGA-PBE.

Cell lengths 9.746, 9.746, 9.746 Å; angles 109.47, 109.47, 109.47 degrees
Fractional positions:
La (0.000, 0.000, 0.000)
Tb (0.000, 0.000, 0.500)
Tb (0.000, 0.500, 0.000)
Tb (0.000, 0.500, 0.500)
Tb (0.500, 0.000, 0.000)
Tb (0.500, 0.000, 0.500)
Tb (0.500, 0.500, 0.000)
Tb (0.500, 0.500, 0.500)
Ho (0.001, 0.744, 0.257)
Ho (0.256, 0.257, 0.513)
Ho (0.256, 0.743, 0.999)
Ho (0.257, 0.001, 0.744)
Ho (0.257, 0.513, 0.256)
Ho (0.487, 0.744, 0.743)
Ho (0.513, 0.256, 0.257)
Ho (0.743, 0.487, 0.744)
Ho (0.743, 0.999, 0.256)
Ho (0.744, 0.257, 0.001)
Ho (0.744, 0.743, 0.487)
Ho (0.999, 0.256, 0.743)

Properties
E_form	13.77	eV/f.u.
E above lowest polymorph	0.4502	eV/atom